Compound: ZrBeSb3
Source: the Alexandria database
Functional: PBE
Structure: relaxed

a = 5.522 Å, b = 5.522 Å, c = 5.522 Å
α = 90.00°, β = 90.00°, γ = 90.00°
Space group Pm-3m (No. 221)
One atom of each set of equivalent atoms:
Zr 0.000 0.000 0.000 (multiplicity 1)
Be 0.500 0.500 0.500 (multiplicity 1)
Sb 0.000 0.000 0.500 (multiplicity 3)

Final energy, eV/cell: -20.7

---

Compound: Sc3Be5
Source: the Alexandria database
Functional: PBE
Structure: relaxed

a = 6.199 Å, b = 8.798 Å, c = 4.159 Å
α = 90.00°, β = 90.00°, γ = 90.00°
Space group Cmmm (No. 65)
One atom of each set of equivalent atoms:
Sc 0.000 0.000 0.000 (multiplicity 2)
Sc 0.000 0.265 0.500 (multiplicity 4)
Be 0.000 0.500 0.000 (multiplicity 2)
Be 0.224 0.500 0.500 (multiplicity 4)
Be 0.250 0.250 0.000 (multiplicity 4)

Calculated formation energy, kJ/mol of atoms: 9.1

---

Compound: ScBe4
Source: the Alexandria database
Functional: PBE
Structure: relaxed

a = 3.609 Å, b = 3.609 Å, c = 8.723 Å
α = 90.00°, β = 90.00°, γ = 90.00°
Space group I4/mmm (No. 139)
One atom of each set of equivalent atoms:
Sc 0.000 0.000 0.000 (multiplicity 2)
Be 0.000 0.000 0.378 (multiplicity 4)
Be 0.000 0.500 0.250 (multiplicity 4)

Calculated formation energy, kJ/mol of atoms: -5.5

---

Compound: Sc4Be5
Source: the Alexandria database
Functional: PBE
Structure: relaxed

a = 7.7058 Å, b = 7.7058 Å, c = 5.4661 Å
α = 90.00°, β = 90.00°, γ = 120.00°
Space group P6_3/mcm (No. 193)
One atom of each set of equivalent atoms:
Sc 0.0000 0.0000 0.0000 (multiplicity 2)
Sc 0.0000 0.3608 0.2500 (multiplicity 6)
Be 0.0000 0.3162 0.7500 (multiplicity 6)
Be 0.3333 0.6667 0.0000 (multiplicity 4)

Calculated formation energy, kJ/mol of atoms: 16.9

---

Compound: Sc2Be3
Source: the Alexandria database
Functional: PBE
Structure: relaxed

a = 3.5355 Å, b = 3.5355 Å, c = 7.0803 Å
α = 90.00°, β = 90.00°, γ = 120.00°
Space group P-3m1 (No. 164)
One atom of each set of equivalent atoms:
Sc 0.3333 0.6667 0.1884 (multiplicity 2)
Be 0.0000 0.0000 0.5000 (multiplicity 1)
Be 0.3333 0.6667 0.5629 (multiplicity 2)

Calculated formation energy, kJ/mol of atoms: -6.1

---

Compound: ScBe4
Source: the Alexandria database
Functional: PBE
Structure: relaxed

a = 5.297 Å, b = 5.297 Å, c = 3.905 Å
α = 90.00°, β = 90.00°, γ = 90.00°
Space group I4/mmm (No. 139)
One atom of each set of equivalent atoms:
Sc 0.000 0.000 0.000 (multiplicity 2)
Be 0.000 0.310 0.500 (multiplicity 8)

Calculated formation energy, kJ/mol of atoms: -2.0

---

| no. | total magnetic moment (Bohr magnetons per cell) |
| --- | --- |
| 1 | 0.000 |
| 2 | 0.000 |
| 3 | 0.000 |
| 4 | 0.001 |
| 5 | 0.000 |
| 6 | 0.000 |